Arrangement i

Compound: In2N2F
Source: Alexandria
Functional: PBE
Structure: relaxed

Total moment: 0.84 μB/f.u.
Density of states at the Fermi level: 5.88 states/eV per cell

abc: 6.4271 6.4271 2.9899
angles: 90.00 90.00 90.00
With the nearest neighbours (Å) after each atom.
Positions (direct):
In1 0.1691 0.3309 0.0000  6 N 2.30-2.48, 2 F 2.39
In2 0.3309 0.8309 0.0000  6 N 2.30-2.48, 2 F 2.39
In3 0.6691 0.1691 0.0000  6 N 2.30-2.48, 2 F 2.39
In4 0.8309 0.6691 0.0000  6 N 2.30-2.48, 2 F 2.39
N1 0.1379 0.6379 0.5000  6 In 2.30-2.48, 1 N 2.51
N2 0.3621 0.1379 0.5000  6 In 2.30-2.48, 1 N 2.51
N3 0.6379 0.8621 0.5000  6 In 2.30-2.48, 1 N 2.51
N4 0.8621 0.3621 0.5000  6 In 2.30-2.48, 1 N 2.51
F1 0.0000 0.0000 0.0000  4 In 2.39
F2 0.5000 0.5000 0.0000  4 In 2.39



Arrangement ii

Compound: In2N2F
Source: Alexandria
Functional: PBE
Structure: relaxed

Total moment: 0.00 μB/f.u.
Density of states at the Fermi level: 2.20 states/eV per cell

abc: 6.0274 6.0274 6.0274
angles: 144.54 144.54 51.02
With the nearest neighbours (Å) after each atom.
Positions (direct):
In1 0.1309 0.1309 0.0000  4 N 2.25
In2 0.8691 0.8691 0.0000  4 N 2.25
N1 0.2500 0.7500 0.5000  4 In 2.25
N2 0.7500 0.2500 0.5000  4 In 2.25
F1 0.5000 0.5000 0.0000  8 In 2.96, 8 N 3.28



Which structure is the least stable? The one labeled arrangement ii.